Compound: Rb2CuGeBr6
Source: OQMD via LeMat-Bulk
Functional: GGA-PBE
Structure: optimized geometry

Cell: 7.5105 7.5291 13.0467 Å, 90.00 125.09 90.00°
With the nearest neighbours (Å) after each atom.
Space group P2_1/c (No. 14)
Unique sites:
Rb (0.2490, 0.0073, 0.2501) (multiplicity 4)  12 Br 3.61-3.98
Cu (0.0000, 0.0000, 0.5000) (multiplicity 2)  6 Br 2.62-2.64
Ge (0.5000, 0.0000, 0.0000) (multiplicity 2)  6 Br 2.70-2.71
Br (0.2225, 0.2384, 0.9914) (multiplicity 4)  1 Cu 2.63, 1 Ge 2.70
Br (0.2532, 0.7316, 0.9923) (multiplicity 4)  1 Cu 2.62, 1 Ge 2.70
Br (0.2628, 0.5017, 0.2468) (multiplicity 4)  1 Cu 2.64, 1 Ge 2.71

**ρ**: 4.3 g cm⁻³
**Final energy**: -3.00 eV/atom